# 1
{
  "formula": "AcNd2Sm6",
  "functional": "PBE-GGA",
  "state": "relaxed",
  "lattice_angstrom": [[5.5407, -9.0277, 0.0000], [5.5407, 9.0277, 0.0000], [-0.4461, 0.0000, 6.3207]],
  "species": ["Ac", "Ac", "Nd", "Nd", "Nd", "Nd", "Sm", "Sm", "Sm", "Sm", "Sm", "Sm", "Sm", "Sm", "Sm", "Sm", "Sm", "Sm"],
  "frac_coords": [[0.2497, 0.7503, 0.7500], [0.7503, 0.2497, 0.2500], [0.1559, 0.3444, 0.4990], [0.3444, 0.1559, 0.9990], [0.6556, 0.8441, 0.0010], [0.8441, 0.6556, 0.5010], [0.0156, 0.1655, 0.9915], [0.0893, 0.5909, 0.2276], [0.1655, 0.0156, 0.4915], [0.3337, 0.4849, 0.0079], [0.4091, 0.9107, 0.2724], [0.4849, 0.3337, 0.5079], [0.5151, 0.6663, 0.4921], [0.5909, 0.0893, 0.7276], [0.6663, 0.5151, 0.9921], [0.8345, 0.9844, 0.5085], [0.9107, 0.4091, 0.7724], [0.9844, 0.8345, 0.0085]],
  "ef_ev_per_atom": 0.108,
  "de_polymorph_ev_per_atom": 0.000,
  "rho_g_cm3": 7.45,
  "total_magnetization_mub_per_fu": 0.000
}

# 2
{
  "formula": "Rb3BeF5",
  "functional": "PBE-GGA",
  "state": "relaxed",
  "lattice_angstrom": [[-3.8079, 3.8079, 5.6887], [3.8079, -3.8079, 5.6887], [3.8079, 3.8079, -5.6887]],
  "species": ["Rb", "Rb", "Rb", "Rb", "Rb", "Rb", "Be", "Be", "F", "F", "F", "F", "F", "F", "F", "F", "F", "F"],
  "frac_coords": [[0.1819, 0.6819, 0.8638], [0.2500, 0.2500, 0.0000], [0.3181, 0.1819, 0.5000], [0.6819, 0.8181, 0.5000], [0.7500, 0.7500, 0.0000], [0.8181, 0.3181, 0.1362], [0.2500, 0.7500, 0.5000], [0.7500, 0.2500, 0.5000], [0.0000, 0.0000, 0.0000], [0.0504, 0.7867, 0.5000], [0.2133, 0.7133, 0.2637], [0.2867, 0.5504, 0.5000], [0.4496, 0.9496, 0.7363], [0.5000, 0.5000, 0.0000], [0.5504, 0.0504, 0.2637], [0.7133, 0.4496, 0.5000], [0.7867, 0.2867, 0.7363], [0.9496, 0.2133, 0.5000]],
  "formation_energy_uncorrected_ev_per_atom": -2.982,
  "rho_g_cm3": 3.63,
  "total_magnetization_mub_per_fu": 0.083
}

# 3
{
  "formula": "La8Pr3Pu",
  "functional": "PBE-GGA",
  "state": "relaxed",
  "lattice_angstrom": [[-4.4450, 4.4450, 5.8743], [4.4450, -4.4450, 5.8743], [4.4450, 4.4450, -5.8743]],
  "species": ["La", "La", "La", "La", "La", "La", "La", "La", "Pr", "Pr", "Pr", "Pu"],
  "frac_coords": [[0.1150, 0.1150, 0.7584], [0.2072, 0.2072, 0.4613], [0.2541, 0.7928, 0.0000], [0.3565, 0.3565, 0.2416], [0.6435, 0.8850, 0.0000], [0.7459, 0.7459, 0.5387], [0.7928, 0.2541, 0.0000], [0.8850, 0.6435, 0.0000], [0.2500, 0.7500, 0.5000], [0.5000, 0.5000, 0.0000], [0.7500, 0.2500, 0.5000], [0.0000, 0.0000, 0.0000]],
  "ef_ev_per_atom": 0.416,
  "rho_g_cm3": 6.36,
  "total_magnetization_mub_per_fu": 5.462
}

# 4
{
  "formula": "Tb4Tc",
  "functional": "PBE-GGA",
  "state": "relaxed",
  "lattice_angstrom": [[6.1893, 0.0000, 0.0000], [0.0000, 7.5461, 0.0000], [-0.2597, 0.0000, 6.3924]],
  "species": ["Tb", "Tb", "Tb", "Tb", "Tb", "Tb", "Tb", "Tb", "Tc", "Tc"],
  "frac_coords": [[0.2425, 0.1360, 0.0901], [0.2425, 0.8640, 0.5901], [0.2517, 0.3906, 0.5751], [0.2517, 0.6094, 0.0751], [0.7483, 0.3906, 0.9249], [0.7483, 0.6094, 0.4249], [0.7575, 0.1360, 0.4099], [0.7575, 0.8640, 0.9099], [0.5000, 0.1407, 0.7500], [0.5000, 0.8593, 0.2500]],
  "ef_ev_per_atom": 0.054,
  "de_polymorph_ev_per_atom": 0.000,
  "rho_g_cm3": 8.16,
  "total_magnetization_mub_per_fu": 0.000
}

# 5
{
  "formula": "Li6AgPd3",
  "functional": "PBE-GGA",
  "state": "relaxed",
  "lattice_angstrom": [[4.4131, -2.5710, 0.0000], [4.4131, 2.5710, 0.0000], [-2.5874, 0.0000, 6.8321]],
  "species": ["Li", "Li", "Li", "Li", "Li", "Li", "Ag", "Pd", "Pd", "Pd"],
  "frac_coords": [[0.0962, 0.5784, 0.1922], [0.1590, 0.1590, 0.4299], [0.4216, 0.9038, 0.8078], [0.5784, 0.0962, 0.1922], [0.8410, 0.8410, 0.5701], [0.9038, 0.4216, 0.8078], [0.0000, 0.0000, 0.0000], [0.4030, 0.4030, 0.8111], [0.5000, 0.5000, 0.5000], [0.5970, 0.5970, 0.1890]],
  "ef_ev_per_atom": -0.285,
  "de_polymorph_ev_per_atom": 0.054,
  "rho_g_cm3": 5.02,
  "total_magnetization_mub_per_fu": 0.000
}

# 6
{
  "formula": "La4PmSm2Er",
  "functional": "PBE-GGA",
  "state": "relaxed",
  "lattice_angstrom": [[5.2241, 0.0000, 0.0000], [0.0000, 5.2589, 0.0000], [0.0000, 0.0000, 10.1912]],
  "species": ["La", "La", "La", "La", "Pm", "Sm", "Sm", "Er"],
  "frac_coords": [[0.0000, 0.0000, 0.2477], [0.0000, 0.0000, 0.7523], [0.5000, 0.5000, 0.2479], [0.5000, 0.5000, 0.7521], [0.0000, 0.5000, 0.5000], [0.0000, 0.5000, 0.0000], [0.5000, 0.0000, 0.5000], [0.5000, 0.0000, 0.0000]],
  "ef_ev_per_atom": 0.016,
  "rho_g_cm3": 6.93,
  "total_magnetization_mub_per_fu": 0.000
}